Computed, not measured: an optimized crystal structure of AcMg7Hg12 at the GGA-PBE level of DFT.

Computed properties:
- space group = Im-3
- magnetic moment (μB/atom) = 0.00
- total energy (eV/cell) = -19.06
- ΔE_f (meV/atom) = -8.4
- crystal system = cubic

Unit cell a=9.0867 b=9.0867 c=9.0867 alpha=109.47 beta=109.47 gamma=109.47
Fractional positions:
Ac  0.0000  0.0000  0.0000
Mg  0.5000  0.0000  0.5000
Mg  0.5000  0.5000  0.0000
Mg  0.0000  0.5000  0.5000
Mg  0.0000  0.0000  0.5000
Mg  0.5000  0.0000  0.0000
Mg  0.5000  0.5000  0.5000
Mg  0.0000  0.5000  0.0000
Hg  0.2901  0.1672  0.4574
Hg  0.2901  0.8328  0.1229
Hg  0.7099  0.8328  0.5426
Hg  0.7099  0.1672  0.8771
Hg  0.4574  0.2901  0.1672
Hg  0.8771  0.7099  0.1672
Hg  0.5426  0.7099  0.8328
Hg  0.1229  0.2901  0.8328
Hg  0.8328  0.1229  0.2901
Hg  0.1672  0.8771  0.7099
Hg  0.1672  0.4574  0.2901
Hg  0.8328  0.5426  0.7099